Entry 1:
Compound: ZrMoP
Source: the Alexandria database
Functional: PBE
Structure: relaxed

Computed properties:
Its size of the total moment is 0.00 μB per formula unit. As for the space-group type: P3m1, No. 156. The calculation puts the energy above the most stable polymorph in this dataset at 1.46 eV per formula unit.

abc: 3.477 3.477 5.187
angles: 90.00 90.00 120.00
Sites, in units of the cell vectors:
Mo1 0.000 0.000 0.070
Zr1 0.333 0.667 0.619
P1 0.667 0.333 0.311

***

Entry 2:
Compound: MgTcHg2
Source: the Alexandria database
Functional: PBE
Structure: relaxed

Computed properties:
Its size of the total moment is 0.00 μB per formula unit. As for the space-group type: Pmm2, No. 25. For the calculated total energy, the calculation gives -11.16 eV/cell.

abc: 2.971 4.275 5.985
angles: 90.00 90.00 90.00
Sites, in units of the cell vectors:
Hg1 0.500 0.500 0.263
Hg2 0.000 0.000 0.974
Tc1 0.500 0.500 0.745
Mg1 0.000 0.000 0.517

***

Entry 3:
Compound: CaBi2Au6
Source: the Alexandria database
Functional: PBE
Structure: relaxed

Computed properties:
Its size of the total moment is 0.00 μB per formula unit. As for the space-group type: P3m1, No. 156. The calculation puts the energy above the most stable polymorph in this dataset at 0.00 eV per formula unit.

abc: 5.698 5.698 14.067
angles: 90.00 90.00 120.00
Sites, in units of the cell vectors:
Au1 0.666 0.833 0.793
Au2 0.832 0.665 0.122
Au3 0.500 0.000 0.460
Au4 0.335 0.168 0.122
Au5 0.832 0.168 0.122
Au6 0.000 0.000 0.957
Au7 0.500 0.500 0.460
Au8 0.167 0.334 0.793
Au9 0.000 0.500 0.460
Au10 0.667 0.333 0.292
Au11 0.167 0.833 0.793
Au12 0.333 0.667 0.625
Bi1 0.000 0.000 0.327
Bi2 0.333 0.667 0.009
Bi3 0.333 0.667 0.252
Bi4 0.667 0.333 0.665
Ca1 0.000 0.000 0.584
Ca2 0.667 0.333 0.913

***

Entry 4:
Compound: DyMgF4
Source: the Alexandria database
Functional: PBE
Structure: relaxed

Computed properties:
Its size of the total moment is 0.00 μB per formula unit. For the energy relative to the elements, uncorrected, the calculation gives -20.2 eV/f.u. As for the space-group type: P2/m, No. 10.

abc: 3.566 3.627 6.672
angles: 121.68 90.00 90.00
Sites, in units of the cell vectors:
F1 0.500 0.730 0.720
F2 0.000 0.772 0.283
F3 0.000 0.228 0.717
F4 0.500 0.270 0.280
Mg1 0.000 0.500 0.500
Dy1 0.500 0.500 0.000